This record from Alexandria describes an optimized crystal structure of PmEr2PuN4. The functional is PBE-GGA.

Structure (POSCAR):
```
PmEr2PuN4
1.0
-2.173 -2.073 1.781
3.476 0.560 4.892
-4.162 4.360 -0.004
Er N Pu Pm
2 4 1 1
Direct
0.000 0.500 0.500 Er
0.500 0.000 0.500 Er
0.500 0.242 0.252 N
0.000 0.762 0.256 N
0.000 0.238 0.744 N
0.500 0.758 0.748 N
0.000 0.000 0.000 Pu
0.500 0.500 0.000 Pm
```

- space group = P2/m (10)
- formation energy without anion corrections (meV per atom) = -1534
- E_tot (eV per atom) = -9.22